Crystalline OsPdN2 at its relaxed geometry. Source: Alexandria via LeMat-Bulk, functional GGA-PBE.

a b c (Å): 6.712 6.712 6.712
angles (deg): 24.67 24.67 24.67
Atoms (fractional coordinates):
Os 0.000 0.000 0.000
Pd 0.500 0.500 0.500
N 0.397 0.397 0.397
N 0.603 0.603 0.603

Results
* M_tot: 0.00 μB per formula unit
* E: -30.777 eV per formula unit
* space group: R-3m, No. 166
* E_form (uncorrected): 2.3 eV/f.u.

***

Crystalline OsPd3N at its relaxed geometry. Source: Alexandria via LeMat-Bulk, functional GGA-PBE.

a b c (Å): 4.130 4.130 4.130
angles (deg): 90.00 90.00 90.00
Atoms (fractional coordinates):
Os 0.000 0.000 0.000
Pd 0.000 0.500 0.500
Pd 0.500 0.000 0.500
Pd 0.500 0.500 0.000
N 0.500 0.500 0.500

Results
* M_tot: 1.62 μB per formula unit
* E: -30.739 eV per formula unit
* space group: Pm-3m, No. 221
* E_form (uncorrected): 4.4 eV/f.u.

***

Crystalline OsPdRh2N at its relaxed geometry. Source: Alexandria via LeMat-Bulk, functional GGA-PBE.

a b c (Å): 4.836 4.836 4.817
angles (deg): 90.00 90.00 90.00
Atoms (fractional coordinates):
Os 0.000 0.000 0.000
Pd 0.000 0.000 0.500
Rh 0.000 0.500 0.500
Rh 0.500 0.000 0.500
N 0.500 0.500 0.000

Results
* M_tot: 7.76 μB per formula unit
* E: -24.154 eV per formula unit
* space group: P4/mmm, No. 123
* E_form (uncorrected): 15.3 eV/f.u.

***

Crystalline SbOs2PdN at its relaxed geometry. Source: Alexandria via LeMat-Bulk, functional GGA-PBE.

a b c (Å): 5.031 5.031 3.571
angles (deg): 90.00 90.00 90.00
Atoms (fractional coordinates):
Sb 0.000 0.000 0.000
Os 0.000 0.500 0.500
Os 0.500 0.000 0.500
Pd 0.500 0.500 0.500
N 0.500 0.500 0.000

Results
* M_tot: 2.44 μB per formula unit
* E: -30.205 eV per formula unit
* space group: P4/mmm, No. 123
* E_form (uncorrected): 9.9 eV/f.u.

***

Crystalline OsPdSeN2 at its relaxed geometry. Source: Alexandria via LeMat-Bulk, functional GGA-PBE.

a b c (Å): 3.748 3.748 5.641
angles (deg): 90.00 90.00 90.00
Atoms (fractional coordinates):
Os 0.000 0.000 0.000
Pd 0.500 0.500 0.500
Se 0.000 0.000 0.500
N 0.000 0.500 0.000
N 0.500 0.000 0.000

Results
* M_tot: 0.19 μB per formula unit
* E: -33.382 eV per formula unit
* space group: P4/mmm, No. 123
* E_form (uncorrected): 3.2 eV/f.u.

***

Crystalline OsPdSeN2 at its relaxed geometry. Source: Alexandria via LeMat-Bulk, functional GGA-PBE.

a b c (Å): 3.710 3.710 7.191
angles (deg): 90.00 90.00 90.00
Atoms (fractional coordinates):
Os 0.000 0.000 0.000
Pd 0.500 0.500 0.500
Se 0.500 0.500 0.000
N 0.000 0.500 0.500
N 0.500 0.000 0.500

Results
* M_tot: 2.80 μB per formula unit
* E: -26.177 eV per formula unit
* space group: P4/mmm, No. 123
* E_form (uncorrected): 10.4 eV/f.u.

***

Crystalline OsPdSe2N at its relaxed geometry. Source: Alexandria via LeMat-Bulk, functional GGA-PBE.

a b c (Å): 5.023 5.023 3.582
angles (deg): 90.00 90.00 90.00
Atoms (fractional coordinates):
Os 0.000 0.000 0.000
Pd 0.500 0.500 0.500
Se 0.000 0.500 0.500
Se 0.500 0.000 0.500
N 0.500 0.500 0.000

Results
* M_tot: 0.00 μB per formula unit
* E: -24.180 eV per formula unit
* space group: P4/mmm, No. 123
* E_form (uncorrected): 7.5 eV/f.u.

***

Crystalline OsPdSe2N at its relaxed geometry. Source: Alexandria via LeMat-Bulk, functional GGA-PBE.

a b c (Å): 5.055 5.055 3.643
angles (deg): 90.00 90.00 90.00
Atoms (fractional coordinates):
Os 0.000 0.000 0.000
Pd 0.500 0.500 0.500
Se 0.000 0.500 0.000
Se 0.500 0.000 0.000
N 0.000 0.000 0.500

Results
* M_tot: 0.00 μB per formula unit
* E: -28.997 eV per formula unit
* space group: P4/mmm, No. 123
* E_form (uncorrected): 2.7 eV/f.u.